Record 1
## MnHgC3 (PBE-GGA)

Data for a relaxed MnHgC3 crystal.

Output
Energy of formation in meV per atom: 1921
Offset from the most stable computed form in meV per atom: 0.0
Total magnetic moment in μB per atom: 0.000

a b c (Å): 3.8849 3.8849 3.8849
angles (deg): 90.00 90.00 90.00
Last column: nearest neighbours and their distance in Å.
Space group Pm-3m (No. 221)
Unique sites:
Mn  0.0000  0.0000  0.0000 x1  6 C 1.94
Hg  0.5000  0.5000  0.5000 x1  12 C 2.75
C  0.0000  0.0000  0.5000 x3  2 Mn 1.94

Record 2
## Mn2HgC (PBE-GGA)

Data for a relaxed Mn2HgC crystal.

Output
Energy of formation in meV per atom: 1382
Total magnetic moment in μB per atom: 1.829

a b c (Å): 6.1581 6.1581 6.1581
angles (deg): 90.00 90.00 90.00
Last column: nearest neighbours and their distance in Å.
Space group Fm-3m (No. 225)
Unique sites:
Mn  0.2500  0.2500  0.2500 x8  4 Hg 2.67, 4 C 2.67
Hg  0.0000  0.0000  0.0000 x4  8 Mn 2.67
C  0.0000  0.0000  0.5000 x4  8 Mn 2.67

Record 3
## MnHgC3 (PBE-GGA)

Data for a relaxed MnHgC3 crystal.

Output
Energy of formation in meV per atom: 3899
Offset from the most stable computed form in meV per atom: 1977.9
Total magnetic moment in μB per atom: 0.092

a b c (Å): 4.2122 4.2122 4.2122
angles (deg): 90.00 90.00 90.00
Last column: nearest neighbours and their distance in Å.
Space group Pm-3m (No. 221)
Unique sites:
Mn  0.0000  0.0000  0.0000 x1  12 C 2.98
Hg  0.5000  0.5000  0.5000 x1  6 C 2.11
C  0.0000  0.5000  0.5000 x3  2 Hg 2.11

Record 4
## MnHg3C (PBE-GGA)

Data for a relaxed MnHg3C crystal.

Output
Energy of formation in meV per atom: 1835
Offset from the most stable computed form in meV per atom: 109.1
Total magnetic moment in μB per atom: 0.785

a b c (Å): 5.1700 5.1700 5.1700
angles (deg): 90.00 90.00 90.00
Last column: nearest neighbours and their distance in Å.
Space group Pm-3m (No. 221)
Unique sites:
Mn  0.0000  0.0000  0.0000 x1  6 Hg 2.58
Hg  0.0000  0.0000  0.5000 x3  2 Mn 2.58
C  0.5000  0.5000  0.5000 x1  12 Hg 3.66

Record 5
## MnHg3C (PBE-GGA)

Data for a relaxed MnHg3C crystal.

Output
Energy of formation in meV per atom: 1725
Offset from the most stable computed form in meV per atom: 0.0
Total magnetic moment in μB per atom: 0.014

a b c (Å): 4.6028 4.6028 4.6028
angles (deg): 90.00 90.00 90.00
Last column: nearest neighbours and their distance in Å.
Space group Pm-3m (No. 221)
Unique sites:
Mn  0.0000  0.0000  0.0000 x1  12 Hg 3.25
Hg  0.0000  0.5000  0.5000 x3  2 C 2.30
C  0.5000  0.5000  0.5000 x1  6 Hg 2.30

Record 6
## MnHgC4S4N4 (PBE-GGA)

Data for a relaxed MnHgC4S4N4 crystal.

Output
Total magnetic moment in μB per atom: 0.357
E_tot in eV per formula unit: -94.5

a b c (Å): 11.3277 11.3277 5.2867
angles (deg): 90.00 90.00 90.00
Last column: nearest neighbours and their distance in Å.
Space group I-4 (No. 82)
Unique sites:
Mn  0.0000  0.0000  0.0000 x2  4 N 2.02
Hg  0.0000  0.5000  0.2500 x2  4 S 2.62
C  0.0633  0.2233  0.3458 x8  1 N 1.18
S  0.0987  0.3353  0.5257 x8  1 C 1.64
N  0.0399  0.1404  0.2200 x8  1 C 1.18

Record 7
## MnHgC4Se4N4 (PBE-GGA)

Data for a relaxed MnHgC4Se4N4 crystal.

Output
Total magnetic moment in μB per atom: 0.356
E_tot in eV per formula unit: -90.6

a b c (Å): 11.5251 11.5251 5.3281
angles (deg): 90.00 90.00 90.00
Last column: nearest neighbours and their distance in Å.
Space group I-4 (No. 82)
Unique sites:
Mn  0.0000  0.0000  0.0000 x2  4 N 2.02
Hg  0.0000  0.5000  0.7500 x2  4 Se 2.73
C  0.0613  0.7825  0.6500 x8  1 N 1.18
Se  0.1013  0.6631  0.4485 x8  1 C 1.81
N  0.0375  0.8623  0.7787 x8  1 C 1.18

Record 8
## MnNi2HgC (PBE-GGA)

Data for a relaxed MnNi2HgC crystal.

Output
Energy of formation in meV per atom: 141
Total magnetic moment in μB per atom: 0.518

a b c (Å): 3.9389 3.9389 3.9151
angles (deg): 90.00 90.00 90.00
Last column: nearest neighbours and their distance in Å.
Space group P4/mmm (No. 123)
Unique sites:
Mn  0.0000  0.0000  0.0000 x1  2 C 1.96
Ni  0.0000  0.5000  0.5000 x2  2 C 1.97
Hg  0.5000  0.5000  0.0000 x1  8 Ni 2.78, 4 Mn 2.79
C  0.0000  0.0000  0.5000 x1  2 Mn 1.96, 4 Ni 1.97

Record 9
## Mn2NiHgC (PBE-GGA)

Data for a relaxed Mn2NiHgC crystal.

Output
Energy of formation in meV per atom: 129
Total magnetic moment in μB per atom: 1.234

a b c (Å): 4.0256 4.0256 3.9213
angles (deg): 90.00 90.00 90.00
Last column: nearest neighbours and their distance in Å.
Space group P4/mmm (No. 123)
Unique sites:
Mn  0.0000  0.5000  0.0000 x2  2 C 2.01
Ni  0.0000  0.0000  0.5000 x1  2 C 1.96
Hg  0.5000  0.5000  0.5000 x1  8 Mn 2.81, 4 Ni 2.85
C  0.0000  0.0000  0.0000 x1  2 Ni 1.96, 4 Mn 2.01